A plane-wave DFT calculation with PBE-GGA was carried out for a geometry-optimized InRuAu2 structure.

Cell and atoms, written as POSCAR:
```
InRuAu2
1.0
4.901 -0.042 0.000
1.227 4.746 0.000
-3.064 -2.352 3.018
Ru Au In
1 2 1
direct
0.750 0.250 0.500
0.250 0.750 0.500
0.000 0.000 0.000
0.500 0.500 0.000
```

For the density of states at the Fermi level, the calculation gives 3.8 states/eV/cell. Its total energy is -17.96 eV per cell. The value obtained for the formation energy is 59 kJ/mol of formula units.